1.
This record from Alexandria via LeMat-Bulk describes a PBEsol-optimized structure of Rb3SeF. The functional is SCAN.

Unit cell a=5.332 b=5.332 c=5.332 alpha=90.00 beta=90.00 gamma=90.00
Space group Pm-3m (No. 221)
Inequivalent atoms, fractional coordinates:
Rb  0.000  0.000  0.500 x3
Se  0.500  0.500  0.500 x1
F  0.000  0.000  0.000 x1

crystal system: cubic
E_form (uncorrected): -1.88 eV/atom
D(E_F): 0.00 states/eV/cell

---

2.
This record from Alexandria via LeMat-Bulk describes a PBEsol-optimized structure of Rb2SeF. The functional is SCAN.

Unit cell a=7.864 b=7.864 c=8.608 alpha=90.00 beta=90.00 gamma=90.00
Space group I-42d (No. 122)
Inequivalent atoms, fractional coordinates:
Rb  0.170  0.250  0.125 x8
Se  0.000  0.000  0.500 x4
F  0.000  0.000  0.000 x4

crystal system: tetragonal
E_form (uncorrected): -1.64 eV/atom
D(E_F): 7.31 states/eV/cell

---

3.
This record from Alexandria via LeMat-Bulk describes a PBEsol-optimized structure of RbSi3F. The functional is SCAN.

Unit cell a=5.505 b=5.505 c=5.505 alpha=90.00 beta=90.00 gamma=90.00
Space group Pm-3m (No. 221)
Inequivalent atoms, fractional coordinates:
Rb  0.000  0.000  0.000 x1
Si  0.000  0.000  0.500 x3
F  0.500  0.500  0.500 x1

crystal system: cubic
E_form (uncorrected): 2.34 eV/atom
D(E_F): 5.72 states/eV/cell

---

4.
This record from Alexandria via LeMat-Bulk describes a PBEsol-optimized structure of RbSiF2. The functional is SCAN.

Unit cell a=6.482 b=6.482 c=6.482 alpha=90.00 beta=90.00 gamma=90.00
Space group Fm-3m (No. 225)
Inequivalent atoms, fractional coordinates:
Rb  0.000  0.000  0.000 x4
Si  0.000  0.000  0.500 x4
F  0.250  0.250  0.250 x8

crystal system: cubic
E_form (uncorrected): -1.07 eV/atom
D(E_F): 7.57 states/eV/cell